Entry 1:
A plane-wave DFT calculation with PBE-GGA was carried out for Tb4PdSe3 after structural relaxation.

* formation energy from raw total energies: -1.533 eV per atom
* E_tot: -5.804 eV/atom
* relative energy among the computed polymorphs: 0.000 eV/atom
* N(E_F): 3.90 states/eV/f.u.

Geometry as POSCAR:
```
Tb4PdSe3
1.0
4.168 -5.838 0.000
4.168 5.838 0.000
0.000 0.000 4.038
Tb Pd Se
4 1 3
direct
0.240 0.240 0.500
0.249 0.751 0.000
0.751 0.249 0.000
0.760 0.760 0.500
0.000 0.000 0.000
0.000 0.500 0.500
0.500 0.000 0.500
0.500 0.500 0.000
```

=====

Entry 2:
A plane-wave DFT calculation with PBE-GGA was carried out for Tb2Pd4Se5 after structural relaxation.

* formation energy from raw total energies: -0.873 eV per atom
* E_tot: -5.187 eV/atom
* N(E_F): 4.45 states/eV/f.u.

Geometry as POSCAR:
```
Tb2Pd4Se5
1.0
2.086 1.204 16.535
-2.086 1.204 16.535
0.000 -2.409 16.535
Tb Pd Se
2 4 5
direct
0.129 0.129 0.129
0.871 0.871 0.871
0.317 0.317 0.317
0.420 0.420 0.420
0.580 0.580 0.580
0.683 0.683 0.683
0.234 0.234 0.234
0.368 0.368 0.368
0.500 0.500 0.500
0.632 0.632 0.632
0.766 0.766 0.766
```

=====

Entry 3:
A plane-wave DFT calculation with PBE-GGA was carried out for Tb4TePdSe2 after structural relaxation.

* formation energy from raw total energies: -1.395 eV per atom
* E_tot: -5.623 eV/atom
* N(E_F): 4.74 states/eV/f.u.

Geometry as POSCAR:
```
Tb4TePdSe2
1.0
7.280 0.000 0.000
0.000 4.098 0.000
-2.351 0.000 6.939
Tb Te Pd Se
4 1 1 2
direct
0.231 0.000 0.245
0.234 0.500 0.735
0.766 0.500 0.265
0.769 0.000 0.755
0.500 0.000 0.000
0.000 0.500 0.000
0.000 0.000 0.500
0.500 0.500 0.500
```

=====

Entry 4:
A plane-wave DFT calculation with PBE-GGA was carried out for TcPdSe4 after structural relaxation.

* formation energy from raw total energies: -0.181 eV per atom
* E_tot: -5.097 eV/atom
* N(E_F): 4.75 states/eV/f.u.

Geometry as POSCAR:
```
TcPdSe4
1.0
4.098 -7.045 0.000
4.098 7.045 0.000
-3.397 0.000 4.266
Tc Pd Se
2 2 8
direct
0.048 0.952 0.750
0.952 0.048 0.250
0.308 0.692 0.250
0.692 0.308 0.750
0.016 0.620 0.773
0.214 0.326 0.837
0.326 0.214 0.337
0.380 0.984 0.727
0.620 0.016 0.273
0.674 0.786 0.663
0.786 0.674 0.163
0.984 0.380 0.227
```

=====

Entry 5:
A plane-wave DFT calculation with PBE-GGA was carried out for Tc2PdSe2 after structural relaxation.

* formation energy from raw total energies: 0.398 eV per atom
* E_tot: -6.181 eV/atom
* relative energy among the computed polymorphs: 0.181 eV/atom
* N(E_F): 4.99 states/eV/f.u.

Geometry as POSCAR:
```
Tc2PdSe2
1.0
-2.026 2.026 5.376
2.026 -2.026 5.376
2.026 2.026 -5.376
Tc Pd Se
2 1 2
direct
0.115 0.115 0.000
0.885 0.885 0.000
0.500 0.500 0.000
0.250 0.750 0.500
0.750 0.250 0.500
```

=====

Entry 6:
A plane-wave DFT calculation with PBE-GGA was carried out for Tc2PdSe2 after structural relaxation.

* formation energy from raw total energies: 0.217 eV per atom
* E_tot: -6.362 eV/atom
* relative energy among the computed polymorphs: 0.000 eV/atom
* N(E_F): 4.59 states/eV/f.u.

Geometry as POSCAR:
```
Tc2PdSe2
1.0
7.181 0.000 0.000
0.000 7.181 0.000
0.000 0.000 3.112
Tc Pd Se
4 2 4
direct
0.140 0.360 0.000
0.360 0.860 0.000
0.640 0.140 0.000
0.860 0.640 0.000
0.000 0.000 0.000
0.500 0.500 0.000
0.152 0.652 0.500
0.348 0.152 0.500
0.652 0.848 0.500
0.848 0.348 0.500
```

=====

What is the E_tot in the third record? -5.623 eV/atom